Material: CePr2PuN4
Method: DFT, PBE-GGA
State: relaxed

Geometry as CIF:
```
data_CePr2PuN4
_symmetry_space_group_name_H-M 'P 1 2/m 1'
_symmetry_Int_Tables_number 10
_symmetry_space_group_name_Hall '-P 2y'
_cell_length_a 6.2267
_cell_length_b 3.5908
_cell_length_c 6.2491
_cell_angle_alpha 90.00
_cell_angle_beta 109.66
_cell_angle_gamma 90.00
loop_
_atom_site_label
_atom_site_type_symbol
_atom_site_fract_x
_atom_site_fract_y
_atom_site_fract_z
Ce1 Ce 0.0000 0.0000 0.0000
Pr1 Pr 0.0000 0.5000 0.5000
Pr2 Pr 0.5000 0.0000 0.5000
Pu1 Pu 0.5000 0.5000 0.0000
N1 N 0.2451 0.5000 0.2284
N2 N 0.2670 0.0000 0.7776
```

Output
- Energy relative to the elements, uncorrected: -1.34 eV/atom
- Size of the total moment: 4.827 μB/f.u.